TaAl2Se | Alexandria via LeMat-Bulk | PBE-GGA | relaxed; DOS at the Fermi energy = 0.875 states/eV per atom; formation energy (no corrections) = 35 kJ/mol of formula units; final energy = -0.2063 Ha/atom
1.0
-4.788 0.036 2.244
-3.323 -3.908 -1.284
5.021 0.431 1.604
Al Ta Se
2 1 1
direct
0.000 0.000 0.000
0.500 0.500 0.000
0.750 0.250 0.500
0.250 0.750 0.500

BaCrB3 | Alexandria via LeMat-Bulk | PBE-GGA | relaxed; DOS at the Fermi energy = 0.752 states/eV per atom; final energy = -0.1204 Ha/atom
1.0
-0.115 -2.965 3.829
-1.013 -3.731 -2.919
4.735 -0.870 -0.531
Ba B Cr
1 3 1
direct
0.000 0.000 0.000
0.000 0.000 0.500
0.500 0.000 0.000
0.000 0.500 0.000
0.500 0.500 0.500

CdSnPb | Alexandria via LeMat-Bulk | PBE-GGA | relaxed; DOS at the Fermi energy = 0.540 states/eV per atom; final energy = -0.1030 Ha/atom
1.0
4.444 0.000 0.000
0.000 4.444 0.000
-2.222 -2.222 8.597
Pb Cd Sn
2 2 2
direct
0.684 0.684 0.367
0.316 0.316 0.633
0.000 0.500 0.000
0.500 0.000 0.000
0.130 0.130 0.259
0.870 0.870 0.741

BaPmS2F | Alexandria via LeMat-Bulk | PBE-GGA | relaxed; DOS at the Fermi energy = 0.011 states/eV per atom; formation energy (no corrections) = -1230 kJ/mol of formula units; final energy = -0.2171 Ha/atom
1.0
4.155 0.000 0.000
0.000 4.155 0.000
0.000 0.000 14.716
S Pm F Ba
4 2 2 2
direct
0.500 0.000 0.290
0.500 0.000 0.910
0.000 0.500 0.090
0.000 0.500 0.710
0.000 0.500 0.883
0.500 0.000 0.117
0.500 0.500 0.500
0.000 0.000 0.500
0.500 0.000 0.612
0.000 0.500 0.388